No. 1
Density functional theory data (PBE) for a relaxed Tb6AlHg crystal.

Lattice parameters (Å, degrees): 4.7970 4.7970 9.6077 90.00 90.00 90.00
Each line ends with the local moment (μB).
Positions (direct):
Hg  0.0000  0.0000  0.0000  0.01
Tb  0.5000  0.5000  0.0000  0.16
Tb  0.0000  0.5000  0.2550  0.16
Tb  0.5000  0.5000  0.5000  0.14
Tb  0.5000  0.0000  0.7450  0.16
Al  0.0000  0.0000  0.5000  0.00
Tb  0.5000  0.0000  0.2550  0.16
Tb  0.0000  0.5000  0.7450  0.16

Summary:
Total energy   -4.15 eV/atom
Crystal system   tetragonal
Formation enthalpy at 0 K   -0.169 eV per atom
Space-group type   P4/mmm
Size of the total moment   1.2 μB/f.u.

No. 2
Density functional theory data (PBE) for a relaxed Tb3Al2Hg4 crystal.

Lattice parameters (Å, degrees): 4.7678 6.0040 8.9785 114.13 90.00 113.39
Positions (direct):
Tb  0.6629  0.3258  0.6738
Hg  0.0859  0.1718  0.4115
Al  0.6111  0.2222  0.2802
Tb  0.0000  0.0000  0.0000
Hg  0.3064  0.6128  0.9626
Tb  0.3371  0.6742  0.3262
Al  0.3889  0.7778  0.7198
Hg  0.6936  0.3872  0.0374
Hg  0.9141  0.8282  0.5885

Summary:
Total energy   -2.95 eV/atom
Crystal system   monoclinic
Formation enthalpy at 0 K   -0.442 eV per atom
Space-group type   C2/m
Size of the total moment   0.0 μB/f.u.

No. 3
Density functional theory data (PBE) for a relaxed TbAlHg2 crystal.

Lattice parameters (Å, degrees): 3.5679 3.5679 7.1676 90.00 90.00 90.00
Each line ends with the local moment (μB).
Positions (direct):
Hg  0.0000  0.0000  0.7244  0.01
Tb  0.5000  0.5000  0.0000  0.24
Hg  0.0000  0.0000  0.2756  0.01
Al  0.5000  0.5000  0.5000  0.00

Summary:
Total energy   -2.46 eV/atom
Crystal system   tetragonal
Formation enthalpy at 0 K   -0.216 eV per atom
Space-group type   P4/mmm
Size of the total moment   0.3 μB/f.u.

No. 4
Density functional theory data (PBE) for a relaxed Tb2AlHg2 crystal.

Lattice parameters (Å, degrees): 4.4787 6.0389 10.1188 88.54 77.21 68.23
Positions (direct):
Hg  0.6522  0.8131  0.8826
Tb  0.6724  0.3204  0.3347
Tb  0.0826  0.7321  0.1027
Hg  0.0901  0.2601  0.5598
Al  0.3844  0.8997  0.3314
Tb  0.9174  0.2679  0.8973
Hg  0.9099  0.7399  0.4402
Tb  0.3276  0.6796  0.6653
Hg  0.3478  0.1869  0.1174
Al  0.6156  0.1003  0.6686

Summary:
Total energy   -3.15 eV/atom
Crystal system   monoclinic
Formation enthalpy at 0 K   -0.429 eV per atom
Space-group type   C2/m
Size of the total moment   0.0 μB/f.u.

No. 5
Density functional theory data (PBE) for a relaxed TbAlHg2 crystal.

Lattice parameters (Å, degrees): 4.4636 9.5487 8.9582 90.00 104.43 90.00
Positions (direct):
Al  0.1415  0.4745  0.2830
Hg  0.1008  0.7500  0.2015
Hg  0.0575  0.2500  0.1150
Al  0.8585  0.9745  0.7170
Hg  0.6965  0.9065  0.3931
Tb  0.5000  0.0000  0.0000
Tb  0.5000  0.5000  0.0000
Al  0.1415  0.0255  0.2830
Hg  0.9425  0.7500  0.8850
Hg  0.3035  0.0935  0.6069
Tb  0.3024  0.7500  0.6048
Hg  0.6966  0.5935  0.3931
Hg  0.3034  0.4065  0.6069
Al  0.8585  0.5255  0.7170
Tb  0.6976  0.2500  0.3952
Hg  0.8992  0.2500  0.7985

Summary:
Total energy   -2.55 eV/atom
Crystal system   orthorhombic
Formation enthalpy at 0 K   -0.307 eV per atom
Space-group type   Cmcm
Size of the total moment   0.0 μB/f.u.

No. 6
Density functional theory data (PBE) for a relaxed TbAlHg2 crystal.

Lattice parameters (Å, degrees): 4.5473 4.5473 5.8625 67.18 67.18 60.00
Positions (direct):
Tb  0.0000  0.0000  0.0000
Hg  0.7708  0.7708  0.6875
Al  0.5000  0.5000  0.5000
Hg  0.2292  0.2292  0.3125

Summary:
Total energy   -2.54 eV/atom
Crystal system   trigonal
Formation enthalpy at 0 K   -0.298 eV per atom
Space-group type   R-3m
Size of the total moment   0.0 μB/f.u.

No. 7
Density functional theory data (PBE) for a relaxed Tb7Al5Hg crystal.

Lattice parameters (Å, degrees): 6.3172 7.9200 7.9200 77.31 66.50 66.50
Positions (direct):
Tb  0.2471  0.7529  0.7529
Tb  0.0189  0.2945  0.6676
Al  0.5461  0.9873  0.4803
Hg  0.9361  0.0639  0.0639
Al  0.5461  0.4803  0.9873
Tb  0.5240  0.8034  0.1486
Al  0.7744  0.7256  0.7256
Tb  0.6130  0.3870  0.3870
Al  0.9863  0.4803  0.9873
Al  0.9863  0.9873  0.4803
Tb  0.5240  0.1486  0.8034
Tb  0.0189  0.6676  0.2945
Tb  0.2786  0.2214  0.2214

Summary:
Total energy   -4.19 eV/atom
Crystal system   orthorhombic
Formation enthalpy at 0 K   -0.230 eV per atom
Space-group type   Imm2
Size of the total moment   0.0 μB/f.u.

No. 8
Density functional theory data (PBE) for a relaxed Tb4Al12Hg crystal.

Lattice parameters (Å, degrees): 7.5999 7.5999 7.5999 109.47 109.47 109.47
Positions (direct):
Al  0.6883  0.6883  0.0000
Al  0.3117  0.0000  0.3117
Tb  0.0000  0.0000  0.5000
Al  0.2500  0.7500  0.5000
Hg  0.0000  0.0000  0.0000
Al  0.7500  0.2500  0.5000
Al  0.5000  0.7500  0.2500
Al  0.3117  0.3117  0.0000
Al  0.7500  0.5000  0.2500
Tb  0.0000  0.5000  0.0000
Tb  0.5000  0.5000  0.5000
Al  0.6883  0.0000  0.6883
Al  0.5000  0.2500  0.7500
Al  0.0000  0.3117  0.3117
Tb  0.5000  0.0000  0.0000
Al  0.2500  0.5000  0.7500
Al  0.0000  0.6883  0.6883

Summary:
Total energy   -4.13 eV/atom
Crystal system   cubic
Formation enthalpy at 0 K   -0.382 eV per atom
Space-group type   Im-3m
Size of the total moment   0.0 μB/f.u.